An optimized crystal structure of Li3MnVP3O12, computed with PBE+U.

## Properties
Its symmetry is No. 146. The total energy is -7.03 eV per atom. The calculated volume is 472.5 Å³ per cell. The calculation puts the relative energy among the computed polymorphs at 14 meV/atom.

POSCAR file:
```
Li3MnVP3O12
1.0
4.258 2.458 7.525
-4.258 2.458 7.525
0.000 -4.916 7.525
Li Mn V P O
6 2 2 6 24
Direct
0.013 0.620 0.367 Li
0.207 0.549 0.949 Li
0.367 0.013 0.620 Li
0.549 0.949 0.207 Li
0.620 0.367 0.013 Li
0.949 0.207 0.549 Li
0.137 0.137 0.137 Mn
0.635 0.635 0.635 Mn
0.432 0.432 0.432 V
0.933 0.933 0.933 V
0.045 0.315 0.744 P
0.239 0.828 0.533 P
0.315 0.744 0.045 P
0.533 0.239 0.828 P
0.744 0.045 0.315 P
0.828 0.533 0.239 P
0.025 0.415 0.131 O
0.077 0.125 0.739 O
0.116 0.786 0.749 O
0.125 0.739 0.077 O
0.126 0.266 0.881 O
0.131 0.025 0.415 O
0.171 0.412 0.537 O
0.266 0.881 0.126 O
0.284 0.663 0.483 O
0.412 0.537 0.171 O
0.415 0.131 0.025 O
0.427 0.838 0.489 O
0.442 0.785 0.834 O
0.483 0.284 0.663 O
0.489 0.427 0.838 O
0.537 0.171 0.412 O
0.663 0.483 0.284 O
0.739 0.077 0.125 O
0.749 0.116 0.786 O
0.785 0.834 0.442 O
0.786 0.749 0.116 O
0.834 0.442 0.785 O
0.838 0.489 0.427 O
0.881 0.126 0.266 O
```